The following is a PBE-GGA calculation of a geometry-optimized HgP2I structure, from Alexandria via LeMat-Bulk.

Calculated values
Spin magnetization = 0.00 μB/cell
Raw formation energy = 0.98 eV/atom
Relative energy among the computed polymorphs = 185 meV per atom

Cell: 4.977 4.977 4.977 Å, 60.00 60.00 60.00°
Fractional coordinates of all 4 atoms:
1 I 0.000 0.000 0.000
2 P 0.750 0.750 0.750
3 P 0.250 0.250 0.250
4 Hg 0.500 0.500 0.500